(1)
# MgCr2I PBE relaxed
data_MgCr2I
_cell_length_a 7.9335
_cell_length_b 7.9335
_cell_length_c 6.3514
_cell_angle_alpha 90.00
_cell_angle_beta 90.00
_cell_angle_gamma 90.00
_space_group_name_H-M_alt 'I -4 2 d'
_space_group_IT_number 122
_space_group_name_Hall 'I -4 2bw'
loop_
_atom_site_label
_atom_site_type_symbol
_atom_site_fract_x
_atom_site_fract_y
_atom_site_fract_z
Mg1 Mg 0.0000 0.0000 0.0000
Cr1 Cr 0.2392 0.2500 0.6250
I1 I 0.0000 0.0000 0.5000
# - ΔE_f (raw) (eV/f.u.) = 3.5
# - N(E_F) (states/eV/f.u.) = 3.034



(2)
# Mg2CrI PBE relaxed
data_Mg2CrI
_cell_length_a 8.2927
_cell_length_b 8.2927
_cell_length_c 6.1811
_cell_angle_alpha 90.00
_cell_angle_beta 90.00
_cell_angle_gamma 90.00
_space_group_name_H-M_alt 'I -4 2 d'
_space_group_IT_number 122
_space_group_name_Hall 'I -4 2bw'
loop_
_atom_site_label
_atom_site_type_symbol
_atom_site_fract_x
_atom_site_fract_y
_atom_site_fract_z
Mg1 Mg 0.2406 0.7500 0.1250
Cr1 Cr 0.0000 0.0000 0.0000
I1 I 0.0000 0.0000 0.5000
# - polymorph energy (0 for the lowest one) (meV/atom) = 0.0
# - ΔE_f (raw) (eV/f.u.) = 1.6
# - N(E_F) (states/eV/f.u.) = 1.811